# GGA+U TeMoO2F, relaxed
data_TeMoO2F
_chemical_formula_sum 'Te1 Mo1 O2 F1'
_cell_length_a 3.988
_cell_length_b 3.988
_cell_length_c 4.509
_cell_angle_alpha 90.00
_cell_angle_beta 90.00
_cell_angle_gamma 90.00
_space_group_name_H-M_alt 'P 4/m m m'
_space_group_IT_number 123
_space_group_name_Hall '-P 4 2'
loop_
_atom_site_label
_atom_site_type_symbol
_atom_site_fract_x
_atom_site_fract_y
_atom_site_fract_z
_atom_site_occupancy
Te1 Te 0.000 0.000 0.000 1
Mo1 Mo 0.500 0.500 0.500 1
O1 O 0.000 0.500 0.500 1
F1 F 0.500 0.500 0.000 1
# - Energy: -5.079 eV/atom